[1]
## Dy3YEr4Se8 (PBE)

Data for an optimized crystal structure of Dy3YEr4Se8.

Summary:
size of the total moment: 0.0 μB per cell
E: -281.69 eV per cell
Fermi-level density of states: 31.512 states/eV/cell
volume: 23.624 Å³ per atom
formation energy (no corrections): -1.719 eV/atom

Cell lengths 8.1158, 8.1158, 19.8793 Å; angles 90.00, 90.00, 120.00 degrees
Space group R-3m (No. 166, hexagonal axes)
Unique sites:
Dy  0.0000  0.5000  0.0000 [9 per cell]
Y  0.0000  0.0000  0.0000 [3 per cell]
Er  0.0000  0.0000  0.5000 [3 per cell]
Er  0.0000  0.5000  0.5000 [9 per cell]
Se  0.0000  0.0000  0.2487 [6 per cell]
Se  0.0005  0.5003  0.2486 [18 per cell]

[2]
## DyY2ErSe6 (PBE)

Data for an optimized crystal structure of DyY2ErSe6.

Summary:
size of the total moment: 0.0 μB per cell
E: -184.72 eV per cell
Fermi-level density of states: 0.000 states/eV/cell
volume: 28.992 Å³ per atom
formation energy (no corrections): -1.857 eV/atom

Cell lengths 7.1889, 7.1889, 19.4323 Å; angles 90.00, 90.00, 120.00 degrees
Space group R3 (No. 146, hexagonal axes)
Unique sites:
Dy  0.0000  0.0000  0.0000 [3 per cell]
Y  0.0000  0.0000  0.3036 [3 per cell]
Y  0.0000  0.0000  0.8042 [3 per cell]
Er  0.0000  0.0000  0.4991 [3 per cell]
Se  0.0294  0.3580  0.5690 [9 per cell]
Se  0.0300  0.6683  0.0692 [9 per cell]